(1)
DFT (PBE) results for crystalline LiPmOs at its relaxed geometry.

a b c (Å): 9.9641 9.9641 9.9641
angles (deg): 157.14 157.14 32.56
Atoms (fractional coordinates):
Li  0.2099  0.2099  0.0000
Li  0.7901  0.7901  0.0000
Pm  0.3999  0.3999  0.0000
Pm  0.6001  0.6001  0.0000
Os  0.0624  0.0624  0.0000
Os  0.9376  0.9376  0.0000

Computed properties:
The value obtained for the density is 7.6 g/cm³.


(2)
DFT (PBE) results for crystalline LiGa4Pd at its relaxed geometry.

a b c (Å): 6.7749 6.7749 6.7749
angles (deg): 124.44 124.44 82.47
Atoms (fractional coordinates):
Li  0.0000  0.0000  0.0000
Li  0.5000  0.5000  0.0000
Ga  0.0173  0.5173  0.8067
Ga  0.2105  0.0173  0.5000
Ga  0.2895  0.7895  0.8067
Ga  0.4827  0.2895  0.5000
Ga  0.5173  0.7105  0.5000
Ga  0.7105  0.2105  0.1933
Ga  0.7895  0.9827  0.5000
Ga  0.9827  0.4827  0.1933
Pd  0.2500  0.2500  0.0000
Pd  0.7500  0.7500  0.0000

Computed properties:
The energy above the most stable polymorph in this dataset is 0.017 eV per atom. The value obtained for the density is 6.4 g/cm³.


no.,M_tot (μB/cell),energy relative to the elements (kJ/mol of atoms)
1,0.0,44.9
2,0.0,-32.1